Record 1
A plane-wave DFT calculation with PBE was carried out for an optimized crystal structure of Re2Os.

As for the space-group type: P-62m (189). The calculation puts the energy of formation from the pure elements at 1.67 eV per formula unit.

```
Re2Os
1.0
3.2324 -5.5987 0.0000
3.2324 5.5987 0.0000
0.0000 0.0000 3.9655
Os Re
3 6
Cartesian
0.0000 0.0000 1.9827
3.2324 1.8662 0.0000
3.2324 -1.8662 0.0000
1.9450 -3.3689 1.9827
1.9450 3.3689 1.9827
4.8252 0.0000 0.0000
0.8198 1.4199 0.0000
2.5748 0.0000 1.9827
0.8198 -1.4199 0.0000
```

***

Record 2
A plane-wave DFT calculation with PBE was carried out for an optimized crystal structure of InAgTe2N.

As for the space-group type: P4/mmm (123). The uncorrected formation energy comes out at 982 meV/atom.

```
InAgTe2N
1.0
-5.1369 2.9601 -0.4364
-0.6553 -0.2669 5.9025
1.9302 3.4038 0.3682
N Te Ag In
1 2 1 1
Cartesian
0.9651 1.7019 0.1841
-2.5684 1.4801 -0.2182
-0.3276 -0.1335 2.9513
-1.9310 3.0485 2.9171
0.0000 0.0000 0.0000
```

***

no.,offset from the most stable computed form (meV/atom)
1,631
2,109